No. 1
The following is a DFT calculation (SCAN) of a PBEsol-optimized structure of Be2CrGe2.

The value obtained for the density of states at the Fermi level is 3.617 states/eV per cell. The calculation puts the calculated formation energy at 0.357 eV/atom. The calculation puts the total energy at -12.70 eV per atom.

The structure belongs to space group I4/mmm (No. 139); the cell edges are 3.248, 3.248 and 12.136 Å and the angles 90.00°, 90.00° and 90.00°. The asymmetric unit holds Be at (0.000, 0.500, 0.250), Cr at (0.000, 0.000, 0.000) and Ge at (0.000, 0.000, 0.390).

***

No. 2
The following is a DFT calculation (SCAN) of a PBEsol-optimized structure of BeNb2CrGe.

The value obtained for the density of states at the Fermi level is 4.671 states/eV per cell. The calculation puts the calculated formation energy at 0.885 eV/atom. The calculation puts the total energy at -20.73 eV per atom.

The structure belongs to space group P4/mmm (No. 123); the cell edges are 4.550, 4.550 and 4.038 Å and the angles 90.00°, 90.00° and 90.00°. The asymmetric unit holds Be at (0.000, 0.000, 0.000), Nb at (0.000, 0.500, 0.500), Cr at (0.000, 0.000, 0.500) and Ge at (0.500, 0.500, 0.000).

***

No. 3
The following is a DFT calculation (SCAN) of a PBEsol-optimized structure of Be2CrGeRh.

The value obtained for the density of states at the Fermi level is 1.964 states/eV per cell. The calculation puts the calculated formation energy at 0.259 eV/atom. The calculation puts the total energy at -15.73 eV per atom.

The structure belongs to space group P4/mmm (No. 123); the cell edges are 4.159, 4.159 and 4.563 Å and the angles 90.00°, 90.00° and 90.00°. The asymmetric unit holds Be at (0.000, 0.500, 0.000), Cr at (0.000, 0.000, 0.500), Ge at (0.500, 0.500, 0.500) and Rh at (0.500, 0.500, 0.000).

***

No. 4
The following is a DFT calculation (SCAN) of a PBEsol-optimized structure of Hf2BeCrMo.

The value obtained for the density of states at the Fermi level is 3.497 states/eV per cell. The calculation puts the calculated formation energy at 0.964 eV/atom. The calculation puts the total energy at -35.63 eV per atom.

The structure belongs to space group P4/mmm (No. 123); the cell edges are 4.617, 4.617 and 4.023 Å and the angles 90.00°, 90.00° and 90.00°. The asymmetric unit holds Hf at (0.000, 0.500, 0.000), Be at (0.000, 0.000, 0.500), Cr at (0.000, 0.000, 0.000) and Mo at (0.500, 0.500, 0.500).

***

No. 5
The following is a DFT calculation (SCAN) of a PBEsol-optimized structure of BeCr2Hg.

The value obtained for the density of states at the Fermi level is 3.464 states/eV per cell. The calculation puts the calculated formation energy at 0.403 eV/atom. The calculation puts the total energy at -26.92 eV per atom. For the energy relative to the lowest polymorph listed for this composition, the calculation gives 81 meV per atom.

The structure belongs to space group C2/m (No. 12); the cell edges are 9.024, 3.063 and 3.882 Å and the angles 90.00°, 110.13° and 90.00°. The asymmetric unit holds Be at (0.000, 0.000, 0.000), Cr at (0.239, 0.500, 0.201) and Hg at (0.000, 0.500, 0.500).

***

No. 6
The following is a DFT calculation (SCAN) of a PBEsol-optimized structure of BeCr2Hg.

The value obtained for the density of states at the Fermi level is 3.462 states/eV per cell. The calculation puts the calculated formation energy at 0.392 eV/atom. The calculation puts the total energy at -26.93 eV per atom. For the energy relative to the lowest polymorph listed for this composition, the calculation gives 70 meV per atom.

The structure belongs to space group P4/mmm (No. 123); the cell edges are 3.032, 3.032 and 5.570 Å and the angles 90.00°, 90.00° and 90.00°. The asymmetric unit holds Be at (0.000, 0.000, 0.000), Cr at (0.500, 0.500, 0.177) and Hg at (0.000, 0.000, 0.500).

***

No. 7
The following is a DFT calculation (SCAN) of a PBEsol-optimized structure of Be2Cr2Hg.

The value obtained for the density of states at the Fermi level is 5.697 states/eV per cell. The calculation puts the calculated formation energy at 0.829 eV/atom. The calculation puts the total energy at -21.90 eV per atom.

The structure belongs to space group I4/mmm (No. 139); the cell edges are 4.037, 4.037 and 7.606 Å and the angles 90.00°, 90.00° and 90.00°. The asymmetric unit holds Be at (0.000, 0.500, 0.250), Cr at (0.000, 0.000, 0.133) and Hg at (0.000, 0.000, 0.500).

***

No. 8
The following is a DFT calculation (SCAN) of a PBEsol-optimized structure of BeCr2Hg.

The value obtained for the density of states at the Fermi level is 6.548 states/eV per cell. The calculation puts the calculated formation energy at 0.322 eV/atom. The calculation puts the total energy at -27.00 eV per atom. For the energy relative to the lowest polymorph listed for this composition, the calculation gives 0 meV per atom.

The structure belongs to space group Fm-3m (No. 225); the cell edges are 6.176, 6.176 and 6.176 Å and the angles 90.00°, 90.00° and 90.00°. The asymmetric unit holds Be at (0.000, 0.000, 0.000), Cr at (0.250, 0.250, 0.250) and Hg at (0.000, 0.000, 0.500).

***

No. 9
The following is a DFT calculation (SCAN) of a PBEsol-optimized structure of BeCr2Hg.

The value obtained for the density of states at the Fermi level is 10.443 states/eV per cell. The calculation puts the calculated formation energy at 0.794 eV/atom. The calculation puts the total energy at -26.53 eV per atom. For the energy relative to the lowest polymorph listed for this composition, the calculation gives 473 meV per atom.

The structure belongs to space group R-3m (No. 166, hexagonal axes); the cell edges are 2.6770, 2.6770 and 25.4858 Å and the angles 90.00°, 90.00° and 120.00°. The asymmetric unit holds Be at (0.0000, 0.0000, 0.0000), Cr at (0.0000, 0.0000, 0.2597) and Hg at (0.0000, 0.0000, 0.5000).

***

No. 10
The following is a DFT calculation (SCAN) of a PBEsol-optimized structure of BeCr3I.

The value obtained for the density of states at the Fermi level is 7.234 states/eV per cell. The calculation puts the total energy at -18.32 eV per atom. The formation energy (no corrections) comes out at 0.930 eV per atom.

The structure belongs to space group Pm-3m (No. 221); the cell edges are 4.165, 4.165 and 4.165 Å and the angles 90.00°, 90.00° and 90.00°. The asymmetric unit holds Be at (0.000, 0.000, 0.000), Cr at (0.000, 0.000, 0.500) and I at (0.500, 0.500, 0.500).

***

No. 11
The following is a DFT calculation (SCAN) of a PBEsol-optimized structure of BeCrI3.

The value obtained for the density of states at the Fermi level is 5.945 states/eV per cell. The calculation puts the total energy at -26.35 eV per atom. The formation energy (no corrections) comes out at 0.245 eV per atom.

The structure belongs to space group Pm-3m (No. 221); the cell edges are 5.208, 5.208 and 5.208 Å and the angles 90.00°, 90.00° and 90.00°. The asymmetric unit holds Be at (0.000, 0.000, 0.000), Cr at (0.500, 0.500, 0.500) and I at (0.000, 0.000, 0.500).

***

No. 12
The following is a DFT calculation (SCAN) of a PBEsol-optimized structure of BeCr2MoI.

The value obtained for the density of states at the Fermi level is 2.063 states/eV per cell. The calculation puts the total energy at -21.30 eV per atom. The formation energy (no corrections) comes out at 1.254 eV per atom.

The structure belongs to space group P4/mmm (No. 123); the cell edges are 4.660, 4.660 and 4.504 Å and the angles 90.00°, 90.00° and 90.00°. The asymmetric unit holds Be at (0.000, 0.000, 0.000), Cr at (0.000, 0.500, 0.500), Mo at (0.000, 0.000, 0.500) and I at (0.500, 0.500, 0.000).

***

No. 13
The following is a DFT calculation (SCAN) of a PBEsol-optimized structure of BeCrTeI2.

The value obtained for the density of states at the Fermi level is 2.490 states/eV per cell. The calculation puts the total energy at -26.29 eV per atom. For the energy relative to the lowest polymorph listed for this composition, the calculation gives 0 meV per atom. The formation energy (no corrections) comes out at 0.405 eV per atom.

The structure belongs to space group P4/mmm (No. 123); the cell edges are 5.124, 5.124 and 5.070 Å and the angles 90.00°, 90.00° and 90.00°. The asymmetric unit holds Be at (0.000, 0.000, 0.000), Cr at (0.500, 0.500, 0.500), Te at (0.000, 0.000, 0.500) and I at (0.000, 0.500, 0.000).

***

No. 14
The following is a DFT calculation (SCAN) of a PBEsol-optimized structure of BeCrTeI2.

The value obtained for the density of states at the Fermi level is 2.463 states/eV per cell. The calculation puts the total energy at -26.14 eV per atom. For the energy relative to the lowest polymorph listed for this composition, the calculation gives 154 meV per atom. The formation energy (no corrections) comes out at 0.559 eV per atom.

The structure belongs to space group P4/mmm (No. 123); the cell edges are 5.390, 5.390 and 5.138 Å and the angles 90.00°, 90.00° and 90.00°. The asymmetric unit holds Be at (0.000, 0.000, 0.000), Cr at (0.500, 0.500, 0.500), Te at (0.500, 0.500, 0.000) and I at (0.000, 0.500, 0.500).

***

No. 15
The following is a DFT calculation (SCAN) of a PBEsol-optimized structure of Be2CrIn.

The value obtained for the density of states at the Fermi level is 1.983 states/eV per cell. The calculation puts the calculated formation energy at 0.328 eV/atom. The calculation puts the total energy at -14.79 eV per atom.

The structure belongs to space group P2/m (No. 10); the cell edges are 2.665, 3.653 and 5.191 Å and the angles 90.00°, 90.31° and 90.00°. The asymmetric unit holds Be at (0.010, 0.000, 0.312), Cr at (0.500, 0.500, 0.500) and In at (0.000, 0.500, 0.000).